The following is a DFT calculation (GGA-PBE) of a relaxed Mo2OsPt crystal.

Cell and atoms, written as POSCAR:
```
Mo2OsPt
1.0
-1.976 1.976 3.913
1.976 -1.976 3.913
1.976 1.976 -3.913
Mo Os Pt
2 1 1
Cartesian
0.000 0.000 0.000 Mo
0.000 1.976 1.956 Mo
0.000 0.000 3.913 Os
1.976 0.000 1.956 Pt
```

Results
The total magnetic moment comes out at 0.00 μB per formula unit. The volume comes out at 61 Å³ per cell. The calculation puts the formation energy at -0.066 eV/atom.